# Ba2Li3GaSb4 (PBE, optimized geometry)
data_Ba2Li3GaSb4
_chemical_formula_sum 'Ba2 Li3 Ga1 Sb4'
_symmetry_space_group_name_H-M 'P -4 m 2'
_symmetry_Int_Tables_number 115
_symmetry_space_group_name_Hall 'P -4 -2'
_cell_length_a 4.897
_cell_length_b 4.897
_cell_length_c 11.322
_cell_angle_alpha 90.00
_cell_angle_beta 90.00
_cell_angle_gamma 90.00
loop_
_atom_site_label
_atom_site_type_symbol
_atom_site_fract_x
_atom_site_fract_y
_atom_site_fract_z
Ba1 Ba 0.000 0.500 0.244
Li1 Li 0.000 0.500 0.876
Li2 Li 0.500 0.500 0.500
Ga1 Ga 0.000 0.000 0.500
Sb1 Sb 0.000 0.000 0.000
Sb2 Sb 0.000 0.500 0.630
Sb3 Sb 0.500 0.500 0.000
# ρ: 5.2 Mg/m³
# crystal system: tetragonal
# formation energy (no corrections): -727 meV/atom
# final energy: -36.37 eV/cell